Nd5InAg2 | GGA-PBE | optimized geometry

**Energy of formation from the pure elements**: -1.828 eV/f.u.
**Crystal system**: tetragonal
**Total DFT energy (no corrections)**: -4.264 eV/atom
**Calculated volume**: 29.8 Å³ per atom

Cell: 8.4060 8.4060 13.4984 Å, 90.00 90.00 90.00°
Space group I4/mcm (No. 140)
One atom of each set of equivalent atoms:
Nd: 0.0000 0.0000 0.0000 x4
Nd: 0.1556 0.3444 0.1492 x16
In: 0.0000 0.0000 0.2500 x4
Ag: 0.1315 0.3685 0.5000 x8


Er3Ga2Ag | GGA-PBE | optimized geometry

**Energy of formation from the pure elements**: -2.931 eV/f.u.
**Crystal system**: tetragonal
**Distance to the lowest polymorph of the same formula**: 7 meV per atom
**Total DFT energy (no corrections)**: -4.254 eV/atom
**Calculated volume**: 22.6 Å³ per atom

Cell: 3.4570 3.4570 11.3416 Å, 90.00 90.00 90.00°
Space group P4/mmm (No. 123)
One atom of each set of equivalent atoms:
Er: 0.0000 0.0000 0.0000 x1
Er: 0.0000 0.0000 0.3301 x2
Ga: 0.5000 0.5000 0.1689 x2
Ag: 0.5000 0.5000 0.5000 x1


RbInS3 | GGA-PBE | optimized geometry

**Energy relative to the elements, uncorrected**: -1.09 eV per formula unit
**Crystal system**: cubic
**Total DFT energy (no corrections)**: -3.436 eV/atom
**Calculated volume**: 27.6 Å³ per atom

Cell: 5.1697 5.1697 5.1697 Å, 90.00 90.00 90.00°
Space group Pm-3m (No. 221)
One atom of each set of equivalent atoms:
Rb: 0.0000 0.0000 0.0000 x1
In: 0.5000 0.5000 0.5000 x1
S: 0.0000 0.5000 0.5000 x3